# 1
Pm5Mg4Cu | PBE | optimized geometry

The calculation puts the volume at 27.465 Å³ per atom. The total magnetic moment is 0.01 Bohr magnetons per cell. Its crystal system is tetragonal. The calculation puts the total DFT energy (no corrections) at -35.28 eV per cell. For the formation energy, the calculation gives -0.105 eV per atom.

It has space group P4/mmm (No. 123), with a = 3.7731 Å, b = 3.7731 Å, c = 19.2922 Å, α = 90.00°, β = 90.00° and γ = 90.00°. Symmetry generates all atoms from Pm at (0.0000, 0.0000, 0.0000), Pm at (0.0000, 0.0000, 0.2063), Pm at (0.0000, 0.0000, 0.4131), Mg at (0.5000, 0.5000, 0.1034), Mg at (0.5000, 0.5000, 0.3076) and Cu at (0.5000, 0.5000, 0.5000).



# 2
Pm2Mg2Cu3 | PBE | optimized geometry

The calculation puts the volume at 20.653 Å³ per atom. The total magnetic moment is 0.00 Bohr magnetons per cell. Its crystal system is monoclinic. The calculation puts the total DFT energy (no corrections) at -51.63 eV per cell. For the formation energy, the calculation gives -0.119 eV per atom.

It has space group C2/m (No. 12), with a = 11.4254 Å, b = 4.4357 Å, c = 7.0680 Å, α = 90.00°, β = 126.18° and γ = 90.00°. Symmetry generates all atoms from Pm at (0.1597, 0.0000, 0.2698), Mg at (0.1426, 0.0000, 0.7721), Cu at (0.0000, 0.5000, 0.5000) and Cu at (0.0577, 0.5000, 0.8945).



# 3
PmMg3Cu8 | PBE | optimized geometry

The calculation puts the volume at 15.397 Å³ per atom. The total magnetic moment is 0.00 Bohr magnetons per cell. Its crystal system is trigonal. The calculation puts the total DFT energy (no corrections) at -132.74 eV per cell. For the formation energy, the calculation gives -0.162 eV per atom.

It has space group R3m (No. 160, hexagonal axes), with a = 5.0581 Å, b = 5.0581 Å, c = 25.0164 Å, α = 90.00°, β = 90.00° and γ = 120.00°. Symmetry generates all atoms from Pm at (0.0000, 0.0000, 0.0000), Mg at (0.0000, 0.0000, 0.3852), Mg at (0.0000, 0.0000, 0.5039), Mg at (0.0000, 0.0000, 0.8714), Cu at (0.0000, 0.0000, 0.1883), Cu at (0.0000, 0.0000, 0.6898), Cu at (0.9997, 0.4999, 0.9361) and Cu at (0.0021, 0.5010, 0.4404).



# 4
Pm2Mg3Cu2 | PBE | optimized geometry

The calculation puts the volume at 22.899 Å³ per atom. The total magnetic moment is 0.00 Bohr magnetons per cell. Its crystal system is monoclinic. The calculation puts the total DFT energy (no corrections) at -47.11 eV per cell. For the formation energy, the calculation gives -0.154 eV per atom.

It has space group C2/m (No. 12), with a = 10.1431 Å, b = 4.3662 Å, c = 7.2689 Å, α = 90.00°, β = 95.21° and γ = 90.00°. Symmetry generates all atoms from Pm at (0.1298, 0.0000, 0.3529), Mg at (0.0000, 0.5000, 0.0000), Mg at (0.1786, 0.0000, 0.8602) and Cu at (0.0778, 0.5000, 0.6454).



# 5
PmMgCu2 | PBE | optimized geometry

The calculation puts the volume at 19.161 Å³ per atom. The total magnetic moment is 0.00 Bohr magnetons per cell. Its crystal system is tetragonal. The calculation puts the total DFT energy (no corrections) at -14.92 eV per cell. For the formation energy, the calculation gives -0.095 eV per atom.

It has space group P4/mmm (No. 123), with a = 3.3553 Å, b = 3.3553 Å, c = 6.8081 Å, α = 90.00°, β = 90.00° and γ = 90.00°. Symmetry generates all atoms from Pm at (0.0000, 0.0000, 0.0000), Mg at (0.0000, 0.0000, 0.5000) and Cu at (0.5000, 0.5000, 0.2884).



# 6
Pm2MgCu3 | PBE | optimized geometry

The calculation puts the volume at 21.056 Å³ per atom. The total magnetic moment is 0.00 Bohr magnetons per cell. Its crystal system is orthorhombic. The calculation puts the total DFT energy (no corrections) at -192.28 eV per cell. For the formation energy, the calculation gives -0.108 eV per atom.

It has space group Fmmm (No. 69), with a = 7.1969 Å, b = 9.0463 Å, c = 15.5240 Å, α = 90.00°, β = 90.00° and γ = 90.00°. Symmetry generates all atoms from Pm at (0.2428, 0.0000, 0.0000), Pm at (0.2500, 0.2500, 0.2500), Mg at (0.0000, 0.0000, 0.3330), Cu at (0.0000, 0.0000, 0.1628) and Cu at (0.0000, 0.2457, 0.0817).